Entry w
5
Lattice="-4.0559 -1.8823 0.9768 2.1189 -3.5098 2.0346 -0.0877 2.2552 3.9817" Properties=species:S:1:pos:R:3 comment="Zr4N | Alexandria | PBE | optimized geometry" spacegroup="Pm-3m (221)" pbc="T T T"
Zr 0.0000 0.0000 0.0000
Zr -2.0718 0.1864 2.4793
Zr 1.0156 -0.6273 3.0081
Zr -0.9685 -2.6961 1.5057
N -1.0124 -1.5685 3.4965

***

Entry x
10
Lattice="-3.2741 -4.0863 0.5927 5.0092 -4.0911 -0.5349 3.2829 -1.8461 5.4049" Properties=species:S:1:pos:R:3 comment="Zr4N | Alexandria | PBE | optimized geometry" spacegroup="P2_1/c (14)" pbc="T T T"
Zr 4.4682 -8.0107 4.6002
Zr 0.2563 -5.1040 2.0760
Zr 0.5498 -2.0128 0.8625
Zr 3.0527 -4.0603 0.5952
Zr 4.7617 -4.9195 3.3867
Zr 2.1580 -2.9979 3.6723
Zr 1.9653 -5.9632 4.8675
Zr 2.8600 -7.0256 1.7904
N 2.5046 -2.0456 -0.2675
N -1.6370 -2.0431 0.2964

***

entry x (2.5 kJ/mol of atoms below the next structure)

***

Entry w
4
Lattice="-2.4987 1.0659 5.1238 -2.3016 -3.9339 -3.5861 3.4462 -4.3787 2.5915" Properties=species:S:1:pos:R:3 comment="Na | Alexandria | PBE | optimized geometry" spacegroup="P6_3/mmc (194)" pbc="T T T"
Na 0.8616 -1.0947 0.6479
Na 2.5847 -3.2840 1.9436
Na -1.5057 -3.3620 -0.0349
Na 0.1517 -3.8847 4.1641

***

Entry x
2
Lattice="3.8994 0.0000 -0.0376 0.0000 3.9487 0.0000 -3.9064 0.0000 4.8500" Properties=species:S:1:pos:R:3 comment="Na | Alexandria | PBE | optimized geometry" spacegroup="C2/m (12)" pbc="T T T"
Na 0.0000 0.0000 0.0000
Na -1.9532 1.9744 2.4250

***

Entry y
3
Lattice="9.5518 0.0837 0.0497 8.7997 3.7161 0.0497 8.7997 1.8220 3.2391" Properties=species:S:1:pos:R:3 comment="Na | Alexandria | PBE | optimized geometry" spacegroup="R-3m (166)" pbc="T T T"
Na 0.0000 0.0000 0.0000
Na 21.1189 4.3727 2.5968
Na 6.0323 1.2490 0.7417

***

entry y (0.6 kJ/mol of atoms below the next structure)

***

Entry w
12
Lattice="10.0599 0.0000 0.0000 -5.0300 8.7121 0.0000 0.0000 0.0000 2.9648" Properties=species:S:1:pos:R:3 comment="NaNb | Alexandria | PBE | optimized geometry" spacegroup="P6_3/m (176)" pbc="T T T"
Na 7.8210 1.2351 0.7412
Na 2.8409 7.3908 2.2236
Na 5.0797 6.1556 0.7412
Na -2.7911 7.4770 2.2236
Na 2.1891 1.3214 0.7412
Na -0.0498 2.5565 2.2236
Nb -1.4495 4.9844 0.7412
Nb 5.0185 1.2369 2.2236
Nb 1.4381 4.9646 0.7412
Nb 6.4795 3.7277 2.2236
Nb 0.0114 7.4753 0.7412
Nb 3.5918 3.7475 2.2236

***

Entry x
2
Lattice="-0.6441 -2.5205 -0.7878 -1.4314 -1.3943 5.6312 -2.2257 1.6710 -0.1520" Properties=species:S:1:pos:R:3 comment="NaNb | Alexandria | PBE | optimized geometry" spacegroup="P2/m (10)" pbc="T T T"
Na -1.4349 -0.4248 -0.4699
Nb -0.7157 -0.6972 2.8156

***

Entry y
8
Lattice="-4.5069 4.9182 -2.3470 -5.4353 -3.8375 2.3958 0.3926 3.3308 6.2258" Properties=species:S:1:pos:R:3 comment="NaNb | Alexandria | PBE | optimized geometry" spacegroup="F-43m (216)" pbc="T T T"
Na -2.3874 1.1029 1.5686
Na -4.9088 0.8495 5.8794
Na -4.4446 5.2273 3.5080
Na -7.3585 1.6432 1.5930
Nb 0.0000 0.0000 0.0000
Nb -2.5214 -0.2534 4.3108
Nb -2.0572 4.1245 1.9394
Nb -4.9711 0.5403 0.0244

***

Entry z
16
Lattice="11.8475 0.0000 0.0000 0.0000 11.8475 0.0000 0.0000 0.0000 2.8360" Properties=species:S:1:pos:R:3 comment="NaNb | Alexandria | PBE | optimized geometry" spacegroup="P4/m (83)" pbc="T T T"
Na 7.3221 10.8367 1.4180
Na 4.5254 1.0108 1.4180
Na 1.0108 7.3221 1.4180
Na 10.8367 4.5254 1.4180
Na 9.9524 1.2910 0.0000
Na 1.8951 10.5565 0.0000
Na 10.5565 9.9524 0.0000
Na 1.2910 1.8951 0.0000
Nb 9.1053 7.3470 1.4180
Nb 2.7422 4.5005 1.4180
Nb 4.5005 9.1053 1.4180
Nb 7.3470 2.7422 1.4180
Nb 7.7615 5.2137 0.0000
Nb 4.0860 6.6338 0.0000
Nb 6.6338 7.7615 0.0000
Nb 5.2137 4.0860 0.0000

***

entry z (9.8 kJ/mol of atoms below the next structure)

***

Entry w
32
Lattice="5.7485 0.0000 0.0000 0.0000 15.2437 0.0000 0.0000 0.0000 9.1094" Properties=species:S:1:pos:R:3 comment="NaNb | Alexandria | PBE | optimized geometry" spacegroup="Fddd (70)" pbc="T T T"
Na 0.0000 0.0000 6.0015
Na 0.0000 0.0000 3.1080
Na 1.4371 11.4328 5.3853
Na 1.4371 11.4328 8.2788
Na 0.0000 7.6218 1.4467
Na 0.0000 7.6218 7.6627
Na 1.4371 3.8109 0.8306
Na 1.4371 3.8109 3.7241
Na 2.8742 0.0000 1.4467
Na 2.8742 0.0000 7.6627
Na 4.3114 11.4328 0.8306
Na 4.3114 11.4328 3.7241
Na 2.8742 7.6218 6.0015
Na 2.8742 7.6218 3.1080
Na 4.3114 3.8109 5.3853
Na 4.3114 3.8109 8.2788
Nb 0.0000 1.1210 0.0000
Nb 0.0000 14.1227 0.0000
Nb 1.4371 10.3117 2.2774
Nb 1.4371 12.5538 2.2774
Nb 0.0000 8.7429 4.5547
Nb 0.0000 6.5008 4.5547
Nb 1.4371 2.6899 6.8321
Nb 1.4371 4.9319 6.8321
Nb 2.8742 1.1210 4.5547
Nb 2.8742 14.1227 4.5547
Nb 4.3114 10.3117 6.8321
Nb 4.3114 12.5538 6.8321
Nb 2.8742 8.7429 0.0000
Nb 2.8742 6.5008 0.0000
Nb 4.3114 2.6899 2.2774
Nb 4.3114 4.9319 2.2774

***

Entry x
4
Lattice="-3.9531 0.5434 -2.8748 2.6355 -4.1474 -0.2012 -3.1821 -2.2141 3.9572" Properties=species:S:1:pos:R:3 comment="NaNb | Alexandria | PBE | optimized geometry" spacegroup="P6_3/mmc (194)" pbc="T T T"
Na -0.3562 -3.1373 -0.1031
Na -4.1435 -2.6808 0.9843
Nb -1.9473 -4.2444 1.8755
Nb -2.5524 -1.5737 -0.9943

***

Entry y
8
Lattice="-0.6617 5.4817 1.7979 -4.2420 0.7642 -3.8912 -4.1325 -1.8568 4.1404" Properties=species:S:1:pos:R:3 comment="NaNb | Alexandria | PBE | optimized geometry" spacegroup="P4_2/mnm (136)" pbc="T T T"
Na -1.8918 3.8609 -0.1567
Na -2.8333 0.0486 1.7427
Na -6.2028 4.3405 0.3044
Na -3.0119 2.3850 -1.9366
Nb -4.2586 5.4243 -1.8179
Nb -4.9891 1.5740 0.2752
Nb -4.0471 2.8151 1.7720
Nb -0.6451 0.8217 -0.2754

***

Entry z
12
Lattice="8.9087 0.0000 0.0000 0.0000 8.9087 0.0000 0.0000 0.0000 8.9087" Properties=species:S:1:pos:R:3 comment="NaNb | Alexandria | PBE | optimized geometry" spacegroup="Pm-3n (223)" pbc="T T T"
Na 2.2272 0.0000 4.4544
Na 6.6815 0.0000 4.4544
Na 0.0000 4.4544 2.2272
Na 0.0000 4.4544 6.6815
Na 4.4544 2.2272 0.0000
Na 4.4544 6.6815 0.0000
Nb 2.2272 4.4544 0.0000
Nb 6.6815 4.4544 0.0000
Nb 4.4544 0.0000 2.2272
Nb 4.4544 0.0000 6.6815
Nb 0.0000 2.2272 4.4544
Nb 0.0000 6.6815 4.4544

***

entry w (29.0 kJ/mol of atoms below the next structure)